Density functional theory data (PBE-GGA) for a relaxed Ac2LaRuPt crystal.

Summary:
The energy of formation comes out at -3.0 eV per formula unit.

Cell lengths 4.286, 13.762, 10.295 Å; angles 90.00, 90.00, 90.00 degrees
Space group Cmcm (No. 63)
Unique sites:
1 Ac 0.000 0.141 0.061 (multiplicity 8)
2 La 0.000 0.416 0.250 (multiplicity 4)
3 Ru 0.000 0.500 0.000 (multiplicity 4)
4 Pt 0.000 0.239 0.750 (multiplicity 4)


Density functional theory data (PBE-GGA) for a relaxed Ac2La2RuPt2 crystal.

Summary:
The energy of formation comes out at -5.0 eV per formula unit.

Cell lengths 14.551, 4.132, 8.175 Å; angles 90.00, 119.72, 90.00 degrees
Space group C2/m (No. 12)
Unique sites:
1 Ac 0.038 0.000 0.267 (multiplicity 4)
2 La 0.207 0.500 0.776 (multiplicity 4)
3 Ru 0.000 0.500 0.500 (multiplicity 2)
4 Pt 0.122 0.500 0.051 (multiplicity 4)


Density functional theory data (PBE-GGA) for a relaxed Ac2LaSb3Pt4 crystal.

Summary:
As for the formation energy from raw total energies: -0.9661 eV per atom.

Cell lengths 4.729, 4.729, 11.403 Å; angles 90.00, 90.00, 90.00 degrees
Space group P-4m2 (No. 115)
Unique sites:
1 Ac 0.000 0.500 0.214 (multiplicity 2)
2 La 0.000 0.000 0.500 (multiplicity 1)
3 Sb 0.000 0.500 0.879 (multiplicity 2)
4 Sb 0.500 0.500 0.500 (multiplicity 1)
5 Pt 0.000 0.000 0.000 (multiplicity 1)
6 Pt 0.000 0.500 0.649 (multiplicity 2)
7 Pt 0.500 0.500 0.000 (multiplicity 1)


Density functional theory data (PBE-GGA) for a relaxed AcLaSbPt crystal.

Summary:
As for the formation energy from raw total energies: -0.9019 eV per atom.

Cell lengths 7.770, 7.770, 7.770 Å; angles 90.00, 90.00, 90.00 degrees
Space group F-43m (No. 216)
Unique sites:
1 Ac 0.000 0.000 0.000 (multiplicity 4)
2 La 0.000 0.000 0.500 (multiplicity 4)
3 Sb 0.250 0.250 0.250 (multiplicity 4)
4 Pt 0.250 0.250 0.750 (multiplicity 4)


Density functional theory data (PBE-GGA) for a relaxed Ac2LaSi3Pt12 crystal.

Summary:
As for the formation energy from raw total energies: -0.5630 eV per atom.

Cell lengths 8.3857, 8.3857, 18.9571 Å; angles 90.00, 90.00, 120.00 degrees
Space group R-3m (No. 166, hexagonal axes)
Unique sites:
1 Ac 0.0000 0.0000 0.1016 (multiplicity 6)
2 La 0.0000 0.0000 0.5000 (multiplicity 3)
3 Si 0.0000 0.5000 0.0000 (multiplicity 9)
4 Pt 0.0329 0.5164 0.8752 (multiplicity 18)
5 Pt 0.0378 0.5189 0.3633 (multiplicity 18)


Density functional theory data (PBE-GGA) for a relaxed AcLaSiPt crystal.

Summary:
As for the formation energy from raw total energies: -0.7226 eV per atom.

Cell lengths 7.531, 7.531, 7.531 Å; angles 90.00, 90.00, 90.00 degrees
Space group F-43m (No. 216)
Unique sites:
1 Ac 0.000 0.000 0.000 (multiplicity 4)
2 La 0.000 0.000 0.500 (multiplicity 4)
3 Si 0.250 0.250 0.750 (multiplicity 4)
4 Pt 0.250 0.250 0.250 (multiplicity 4)


Density functional theory data (PBE-GGA) for a relaxed AcLa2SmPt4 crystal.

Summary:
The energy of formation comes out at -9.1 eV per formula unit.

Cell lengths 8.532, 12.045, 8.533 Å; angles 90.00, 90.00, 90.00 degrees
Space group Fmm2 (No. 42)
Unique sites:
1 Ac 0.000 0.000 0.000 (multiplicity 4)
2 La 0.250 0.250 0.252 (multiplicity 8)
3 Sm 0.000 0.000 0.500 (multiplicity 4)
4 Pt 0.000 0.243 0.502 (multiplicity 8)
5 Pt 0.250 0.000 0.250 (multiplicity 8)


Density functional theory data (PBE-GGA) for a relaxed AcLaSnPt crystal.

Summary:
The energy of formation comes out at -3.1 eV per formula unit.

Cell lengths 7.783, 7.783, 7.783 Å; angles 90.00, 90.00, 90.00 degrees
Space group F-43m (No. 216)
Unique sites:
1 Ac 0.000 0.000 0.000 (multiplicity 4)
2 La 0.000 0.000 0.500 (multiplicity 4)
3 Sn 0.250 0.250 0.750 (multiplicity 4)
4 Pt 0.250 0.250 0.250 (multiplicity 4)


Density functional theory data (PBE-GGA) for a relaxed Ac2LaSn3Pt4 crystal.

Summary:
The energy of formation comes out at -9.3 eV per formula unit.

Cell lengths 4.774, 4.774, 11.166 Å; angles 90.00, 90.00, 90.00 degrees
Space group P-4m2 (No. 115)
Unique sites:
1 Ac 0.000 0.500 0.220 (multiplicity 2)
2 La 0.000 0.000 0.500 (multiplicity 1)
3 Sn 0.000 0.500 0.882 (multiplicity 2)
4 Sn 0.500 0.500 0.500 (multiplicity 1)
5 Pt 0.000 0.000 0.000 (multiplicity 1)
6 Pt 0.000 0.500 0.646 (multiplicity 2)
7 Pt 0.500 0.500 0.000 (multiplicity 1)


Density functional theory data (PBE-GGA) for a relaxed Ac2La2ThPt4 crystal.

Summary:
The energy of formation comes out at -9.2 eV per formula unit.

Cell lengths 18.495, 4.213, 6.651 Å; angles 90.00, 98.90, 90.00 degrees
Space group C2/m (No. 12)
Unique sites:
1 Ac 0.117 0.000 0.069 (multiplicity 4)
2 La 0.174 0.500 0.603 (multiplicity 4)
3 Th 0.000 0.000 0.500 (multiplicity 2)
4 Pt 0.019 0.500 0.795 (multiplicity 4)
5 Pt 0.239 0.500 0.176 (multiplicity 4)


Density functional theory data (PBE-GGA) for a relaxed Ac3LaTh2Pt6 crystal.

Summary:
The energy of formation comes out at -14.4 eV per formula unit.

Cell lengths 7.451, 12.882, 7.469 Å; angles 90.00, 109.35, 90.00 degrees
Space group C2/m (No. 12)
Unique sites:
1 Ac 0.000 0.000 0.000 (multiplicity 2)
2 Ac 0.000 0.333 0.000 (multiplicity 4)
3 La 0.000 0.500 0.500 (multiplicity 2)
4 Th 0.000 0.167 0.500 (multiplicity 4)
5 Pt 0.236 0.000 0.732 (multiplicity 4)
6 Pt 0.248 0.329 0.732 (multiplicity 8)


Density functional theory data (PBE-GGA) for a relaxed AcLaTh2Pt4 crystal.

Summary:
The energy of formation comes out at -9.4 eV per formula unit.

Cell lengths 6.002, 6.002, 12.093 Å; angles 90.00, 90.00, 90.00 degrees
Space group I4/mmm (No. 139)
Unique sites:
1 Ac 0.000 0.000 0.000 (multiplicity 2)
2 La 0.000 0.000 0.500 (multiplicity 2)
3 Th 0.000 0.500 0.250 (multiplicity 4)
4 Pt 0.000 0.000 0.254 (multiplicity 4)
5 Pt 0.000 0.500 0.000 (multiplicity 4)